# 1
This record from Alexandria describes a relaxed structure of VW3F. The functional is PBE with a Hubbard U.

a b c (Å): 4.306 4.306 4.306
angles (deg): 90.00 90.00 90.00
Site moments in Bohr magnetons follow the coordinates.
Fractional coordinates of all 5 atoms:
W 0.000 0.500 0.000  -0.11
W 0.000 0.000 0.500  -0.11
V 0.500 0.500 0.500  2.30
F 0.000 0.000 0.000  -0.02
W 0.500 0.000 0.000  -0.11

Output
Space-group type = No. 221
ΔE to the lowest computed polymorph = 0.0000 eV/atom
Crystal system = cubic



# 2
This record from Alexandria describes a relaxed structure of YV2F8. The functional is PBE with a Hubbard U.

a b c (Å): 5.332 5.544 5.544
angles (deg): 72.57 100.46 100.46
Site moments in Bohr magnetons follow the coordinates.
Fractional coordinates of all 11 atoms:
F 0.708 0.648 0.044  0.00
F 0.269 0.445 0.445  -0.01
V 0.467 0.685 0.685  2.37
F 0.708 0.044 0.648  0.00
V 0.533 0.315 0.315  2.37
Y 0.000 0.000 0.000  0.01
F 0.240 0.839 0.839  0.00
F 0.760 0.161 0.161  0.00
F 0.292 0.956 0.352  0.00
F 0.731 0.555 0.555  -0.01
F 0.292 0.352 0.956  0.00

Output
Space-group type = No. 12
Crystal system = monoclinic



# 3
This record from Alexandria describes a relaxed structure of YVF5. The functional is PBE with a Hubbard U.

a b c (Å): 5.851 5.851 5.851
angles (deg): 138.11 107.08 87.82
Site moments in Bohr magnetons follow the coordinates.
Fractional coordinates of all 7 atoms:
Y 0.500 0.500 0.000  0.00
F 0.759 0.759 0.000  0.01
V 0.000 0.000 0.000  2.76
F 0.500 0.000 0.500  0.00
F 0.181 0.500 0.681  -0.01
F 0.819 0.500 0.319  -0.01
F 0.241 0.241 0.000  0.01

Output
Space-group type = No. 71
ΔE to the lowest computed polymorph = 0.1501 eV/atom
Crystal system = orthorhombic



# 4
This record from Alexandria describes a relaxed structure of YVF5. The functional is PBE with a Hubbard U.

a b c (Å): 5.739 5.739 7.718
angles (deg): 70.58 70.58 72.64
Site moments in Bohr magnetons follow the coordinates.
Fractional coordinates of all 14 atoms:
F 0.220 0.273 0.872  0.00
Y 0.451 0.549 0.750  0.01
F 0.677 0.307 0.964  0.00
F 0.693 0.323 0.536  0.00
F 0.881 0.119 0.250  0.01
F 0.727 0.780 0.628  0.00
Y 0.549 0.451 0.250  0.01
F 0.780 0.727 0.128  0.00
V 0.000 0.000 0.000  2.76
F 0.119 0.881 0.750  0.01
V 0.000 0.000 0.500  2.76
F 0.323 0.693 0.036  0.00
F 0.307 0.677 0.464  0.00
F 0.273 0.220 0.372  0.00

Output
Space-group type = No. 15
ΔE to the lowest computed polymorph = 0.0000 eV/atom
Crystal system = monoclinic



# 5
This record from Alexandria describes a relaxed structure of Y2VF. The functional is PBE with a Hubbard U.

a b c (Å): 7.174 7.174 6.289
angles (deg): 55.23 55.23 90.00
Site moments in Bohr magnetons follow the coordinates.
Fractional coordinates of all 8 atoms:
V 0.000 0.000 0.000  2.94
Y 0.375 0.468 0.750  -0.03
F 0.250 0.750 0.500  0.00
Y 0.218 0.625 0.250  -0.03
Y 0.875 0.782 0.750  -0.03
Y 0.532 0.125 0.250  -0.03
V 0.750 0.250 0.500  2.94
F 0.500 0.500 0.000  0.00

Output
Space-group type = No. 122
ΔE to the lowest computed polymorph = 0.0000 eV/atom
Crystal system = tetragonal



# 6
This record from Alexandria describes a relaxed structure of Y2VF. The functional is PBE with a Hubbard U.

a b c (Å): 5.097 5.097 5.097
angles (deg): 60.00 60.00 60.00
Site moments in Bohr magnetons follow the coordinates.
Fractional coordinates of all 4 atoms:
F 0.000 0.000 0.000  0.08
V 0.500 0.500 0.500  3.11
Y 0.250 0.250 0.250  0.29
Y 0.750 0.750 0.750  0.29

Output
Space-group type = No. 225
ΔE to the lowest computed polymorph = 0.5237 eV/atom
Crystal system = cubic



# 7
This record from Alexandria describes a relaxed structure of VZnF4. The functional is PBE with a Hubbard U.

a b c (Å): 5.234 5.560 5.878
angles (deg): 108.71 102.80 87.81
Site moments in Bohr magnetons follow the coordinates.
Fractional coordinates of all 12 atoms:
F 0.272 0.521 0.339  0.00
F 0.199 0.181 0.813  0.00
F 0.728 0.479 0.661  0.00
Zn 0.629 0.690 0.406  0.01
F 0.275 0.646 0.849  0.00
F 0.340 0.014 0.299  0.01
V 0.500 0.000 0.000  2.77
Zn 0.371 0.310 0.594  0.01
V 0.000 0.500 0.000  2.77
F 0.725 0.354 0.151  0.00
F 0.660 0.986 0.701  0.01
F 0.801 0.819 0.187  0.00

Output
Space-group type = No. 2
ΔE to the lowest computed polymorph = 0.0574 eV/atom
Crystal system = triclinic



# 8
This record from Alexandria describes a relaxed structure of VZn2F8. The functional is PBE with a Hubbard U.

a b c (Å): 4.307 5.745 5.745
angles (deg): 73.57 91.32 91.32
Site moments in Bohr magnetons follow the coordinates.
Fractional coordinates of all 11 atoms:
F 0.776 0.101 0.706  -0.01
F 0.224 0.294 0.899  -0.01
F 0.776 0.706 0.101  -0.01
F 0.253 0.403 0.403  0.00
V 0.000 0.000 0.000  1.00
F 0.747 0.597 0.597  0.00
F 0.739 0.164 0.164  0.00
Zn 0.257 0.623 0.623  0.00
F 0.224 0.899 0.294  -0.01
Zn 0.743 0.377 0.377  0.00
F 0.261 0.836 0.836  0.00

Output
Space-group type = No. 12
Crystal system = monoclinic



| no. | electronic total energy (eV per atom) |
| --- | --- |
| 1 | -4.62 |
| 2 | -6.44 |
| 3 | -6.65 |
| 4 | -6.80 |
| 5 | -6.21 |
| 6 | -5.69 |
| 7 | -5.13 |
| 8 | -4.70 |